1.
Material: Fe4Co3Ir
Method: DFT, GGA-PBE
State: relaxed

The space group is P4/mmm (No. 123) and the conventional cell measures 4.091, 4.091 and 5.810 Å, with angles of 90.00, 90.00 and 90.00 degrees. Symmetry generates all atoms from Fe at (0.000, 0.500, 0.239), Co at (0.000, 0.000, 0.000), Co at (0.000, 0.000, 0.500), Co at (0.500, 0.500, 0.000) and Ir at (0.500, 0.500, 0.500).

As for the energy of formation from the pure elements: -0.0305 eV/atom. Its density of states at the Fermi level is 6.213 states/eV/f.u. The total magnetic moment is 2.21 μB/atom. The energy is -0.591 Ry per atom.



2.
Material: Tm4HC2S
Method: DFT, GGA-PBE
State: relaxed

The space group is Fmm2 (No. 42) and the conventional cell measures 7.264, 10.016 and 7.263 Å, with angles of 90.00, 90.00 and 90.00 degrees. Symmetry generates all atoms from Tm at (0.000, 0.245, 0.000), Tm at (0.250, 0.000, 0.250), H at (0.000, 0.000, 0.999), C at (0.250, 0.250, 0.250) and S at (0.000, 0.000, 0.500).

Its density of states at the Fermi level is 2.877 states/eV/f.u. The total magnetic moment is 0.00 μB/atom. The energy is -0.454 Ry per atom.



3.
Material: Tb6SmEr2Th3
Method: DFT, GGA-PBE
State: relaxed

The space group is C2/m (No. 12) and the conventional cell measures 6.183, 10.705 and 11.770 Å, with angles of 90.00, 100.11 and 90.00 degrees. Symmetry generates all atoms from Tb at (0.249, 0.000, 0.246), Tb at (0.249, 0.333, 0.246), Sm at (0.000, 0.000, 0.500), Er at (0.000, 0.333, 0.500), Th at (0.000, 0.166, 0.000) and Th at (0.000, 0.500, 0.000).

As for the energy of formation from the pure elements: 0.0241 eV/atom. Its density of states at the Fermi level is 17.879 states/eV/f.u. The total magnetic moment is 0.00 μB/atom. The energy is -0.390 Ry per atom.



4.
Material: SiNi2Br
Method: DFT, GGA-PBE
State: relaxed

The space group is C2/m (No. 12) and the conventional cell measures 6.462, 3.732 and 6.490 Å, with angles of 90.00, 109.85 and 90.00 degrees. Symmetry generates all atoms from Si at (0.000, 0.000, 0.000), Ni at (0.126, 0.500, 0.881) and Br at (0.000, 0.500, 0.500).

The energy relative to the elements, uncorrected is -187.4 meV per atom. Its density of states at the Fermi level is 2.604 states/eV/f.u. The total magnetic moment is 0.00 μB/atom. The energy is -0.357 Ry per atom.



5.
Material: AcDy12Ho7
Method: DFT, GGA-PBE
State: relaxed

The space group is Im-3m (No. 229) and the conventional cell measures 11.326, 11.326 and 11.326 Å, with angles of 90.00, 90.00 and 90.00 degrees. Symmetry generates all atoms from Ac at (0.000, 0.000, 0.000), Dy at (0.000, 0.264, 0.264), Ho at (0.000, 0.000, 0.500) and Ho at (0.250, 0.250, 0.250).

As for the energy of formation from the pure elements: 0.6811 eV/atom. Its density of states at the Fermi level is 25.933 states/eV/f.u. The total magnetic moment is 0.00 μB/atom. The energy is -0.286 Ry per atom.



6.
Material: Pm2DyTm5In
Method: DFT, GGA-PBE
State: relaxed

The space group is Cmcm (No. 63) and the conventional cell measures 5.289, 20.314 and 10.360 Å, with angles of 90.00, 90.00 and 90.00 degrees. Symmetry generates all atoms from Pm at (0.000, 0.117, 0.036), Dy at (0.000, 0.210, 0.750), Tm at (0.000, 0.009, 0.750), Tm at (0.000, 0.288, 0.054), Tm at (0.000, 0.384, 0.750), Tm at (0.000, 0.500, 0.000) and In at (0.000, 0.404, 0.250).

As for the energy of formation from the pure elements: -0.0085 eV/atom. Its density of states at the Fermi level is 11.489 states/eV/f.u. The total magnetic moment is 0.00 μB/atom. The energy is -0.321 Ry per atom.



7.
Material: NaTiB2
Method: DFT, GGA-PBE
State: relaxed

The space group is I4_1/amd (No. 141, origin choice 2) and the conventional cell measures 3.813, 3.813 and 16.134 Å, with angles of 90.00, 90.00 and 90.00 degrees. Symmetry generates all atoms from Na at (0.000, 0.250, 0.375), Ti at (0.000, 0.250, 0.875) and B at (0.000, 0.000, 0.000).

As for the energy of formation from the pure elements: 0.9870 eV/atom. Its density of states at the Fermi level is 3.785 states/eV/f.u. The total magnetic moment is 0.00 μB/atom. The energy is -0.342 Ry per atom.



8.
Material: Na2MgPt3
Method: DFT, GGA-PBE
State: relaxed

The space group is R-3m (No. 166, hexagonal axes) and the conventional cell measures 5.4649, 5.4649 and 12.9937 Å, with angles of 90.00, 90.00 and 120.00 degrees. Symmetry generates all atoms from Na at (0.0000, 0.0000, 0.1191), Mg at (0.0000, 0.0000, 0.5000) and Pt at (0.0000, 0.5000, 0.0000).

As for the energy of formation from the pure elements: -0.4673 eV/atom. Its density of states at the Fermi level is 2.853 states/eV/f.u. The total magnetic moment is 0.00 μB/atom. The energy is -0.308 Ry per atom.



Please write out number 2 again, unchanged.
Material: Tm4HC2S
Method: DFT, GGA-PBE
State: relaxed

The space group is Fmm2 (No. 42) and the conventional cell measures 7.264, 10.016 and 7.263 Å, with angles of 90.00, 90.00 and 90.00 degrees. Symmetry generates all atoms from Tm at (0.000, 0.245, 0.000), Tm at (0.250, 0.000, 0.250), H at (0.000, 0.000, 0.999), C at (0.250, 0.250, 0.250) and S at (0.000, 0.000, 0.500).

Its density of states at the Fermi level is 2.877 states/eV/f.u. The total magnetic moment is 0.00 μB/atom. The energy is -0.454 Ry per atom.